[1]
This record from Alexandria describes a relaxed ErZn6Ni12 crystal. The functional is GGA-PBE.

CIF file:
```
data_ErZn6Ni12
_space_group_name_H-M_alt 'R -3 m'
_space_group_IT_number 166
_space_group_name_Hall '-R 3 2"'
_cell_length_a 10.4995
_cell_length_b 10.4995
_cell_length_c 8.0548
_cell_angle_alpha 90.00
_cell_angle_beta 90.00
_cell_angle_gamma 120.00
loop_
_atom_site_label
_atom_site_fract_x
_atom_site_fract_y
_atom_site_fract_z
Er1 0.0000 0.0000 0.0000
Zn1 0.0548 0.5274 0.2369
Ni1 0.0000 0.3900 0.5000
Ni2 0.0812 0.1623 0.2911
```

Values from the calculation:
Energy relative to the elements: 12 meV/atom
Size of the total moment: 0.0 μB per cell



[2]
This record from Alexandria describes a relaxed MnMo2Os crystal. The functional is GGA-PBE.

CIF file:
```
data_MnMo2Os
_space_group_name_H-M_alt 'C 1 2/m 1'
_space_group_IT_number 12
_space_group_name_Hall '-C 2y'
_cell_length_a 5.315
_cell_length_b 8.533
_cell_length_c 2.706
_cell_angle_alpha 90.00
_cell_angle_beta 105.70
_cell_angle_gamma 90.00
loop_
_atom_site_label
_atom_site_fract_x
_atom_site_fract_y
_atom_site_fract_z
Mn1 0.000 0.000 0.000
Mo1 0.250 0.250 0.500
Os1 0.000 0.500 0.000
```

Values from the calculation:
Energy relative to the elements: 139 meV/atom
Size of the total moment: 5.4 μB per cell
Energy above the lowest structure with this stoichiometry: 0.0487 eV/atom



[3]
This record from Alexandria describes a relaxed MnRuRh crystal. The functional is GGA-PBE.

CIF file:
```
data_MnRuRh
_space_group_name_H-M_alt 'C 1 m 1'
_space_group_IT_number 8
_space_group_name_Hall 'C -2y'
_cell_length_a 8.578
_cell_length_b 3.774
_cell_length_c 5.360
_cell_angle_alpha 90.00
_cell_angle_beta 109.44
_cell_angle_gamma 90.00
loop_
_atom_site_label
_atom_site_fract_x
_atom_site_fract_y
_atom_site_fract_z
Mn1 0.000 0.000 0.000
Mn2 0.169 0.500 0.821
Ru1 0.165 0.500 0.309
Ru2 0.329 0.000 0.158
Rh1 0.332 0.000 0.662
Rh2 0.499 0.500 0.495
```

Values from the calculation:
Energy relative to the elements: 15 meV/atom
Size of the total moment: 9.0 μB per cell
Energy above the lowest structure with this stoichiometry: 0.0662 eV/atom



[4]
This record from Alexandria describes a relaxed Ce4IrPt2 crystal. The functional is GGA-PBE.

CIF file:
```
data_Ce4IrPt2
_space_group_name_H-M_alt 'P n m a'
_space_group_IT_number 62
_space_group_name_Hall '-P 2ac 2n'
_cell_length_a 12.229
_cell_length_b 4.018
_cell_length_c 14.324
_cell_angle_alpha 90.00
_cell_angle_beta 90.00
_cell_angle_gamma 90.00
loop_
_atom_site_label
_atom_site_fract_x
_atom_site_fract_y
_atom_site_fract_z
Ce1 0.014 0.250 0.191
Ce2 0.055 0.250 0.603
Ce3 0.190 0.750 0.033
Ce4 0.246 0.750 0.304
Ir1 0.225 0.750 0.669
Pt1 0.059 0.250 0.938
Pt2 0.113 0.250 0.401
```

Values from the calculation:
Energy relative to the elements: -807 meV/atom
Size of the total moment: 12.6 μB per cell
Energy above the lowest structure with this stoichiometry: 0.0000 eV/atom